The following is a PBE-GGA calculation of a geometry-optimized AcZr4Se8 structure, from Alexandria.

Space group = R-3m (166)
Calculated density = 5.49 g/cm³
M_tot = 0.0 μB/f.u.
Formation energy (no corrections) = -1.48 eV/atom

Cell: 7.5891 7.5891 8.6151 Å, 63.87 63.87 60.00°
Element x y z (fractional)
Ac  0.5000  0.5000  0.5000
Zr  0.0000  0.5000  0.0000
Zr  0.5000  0.5000  0.0000
Zr  0.5000  0.0000  0.0000
Zr  0.0000  0.0000  0.0000
Se  0.7490  0.2369  0.7773
Se  0.7631  0.2510  0.2227
Se  0.2510  0.7631  0.2227
Se  0.7631  0.7631  0.2227
Se  0.7384  0.7384  0.7847
Se  0.2616  0.2616  0.2153
Se  0.2369  0.2369  0.7773
Se  0.2369  0.7490  0.7773